PrHoTe3 | GGA-PBE | relaxed

Cell lengths 8.3025, 4.4269, 17.4348 Å; angles 90.00, 90.00, 90.00 degrees
With the nearest neighbours (Å) after each atom.
Space group Pnma (No. 62)
Symmetry-distinct sites (fractional):
Pr1 0.1355 0.2500 0.1998 (multiplicity 4)  8 Te 3.19-3.56
Ho1 0.2276 0.7500 0.4584 (multiplicity 4)  7 Te 3.09-3.26
Te1 0.0053 0.2500 0.3943 (multiplicity 4)  3 Ho 3.09-3.21
Te2 0.1183 0.7500 0.0620 (multiplicity 4)  3 Ho 3.13-3.26, 2 Pr 3.27, 1 Te 3.49
Te3 0.1564 0.2500 0.7863 (multiplicity 4)  1 Ho 3.15, 4 Pr 3.19-3.29, 1 Te 3.49

Properties
**Formation energy (no corrections)**: -1.42 eV/atom
**Electronic total energy**: -5.17 eV per atom
**Mass density**: 7.1 Mg/m³
**Density of states at the Fermi level**: 1.20 states/eV per cell
**Volume**: 32.04 A^3/atom